[1]
A crystal of LaGa3Cu relaxed with PBEsol, computed with meta-GGA SCAN.

```
5
Lattice="5.518 0.000 0.000 0.000 5.518 0.000 0.000 0.000 5.518" Properties=species:S:1:pos:R:3 pbc="T T T"
Ga 0.000 2.759 0.000
La 0.000 0.000 0.000
Cu 2.759 2.759 2.759
Ga 0.000 0.000 2.759
Ga 2.759 0.000 0.000
```

Calculated values
DFT formation energy = 1.29 eV per atom
energy = -20.181 eV per atom

[2]
A crystal of Be3GeI relaxed with PBEsol, computed with meta-GGA SCAN.

```
5
Lattice="-0.237 -0.399 -4.438 1.088 -4.315 0.329 -4.321 -1.065 0.327" Properties=species:S:1:pos:R:3 pbc="T T T"
Be -2.160 -0.532 0.163
Be 0.544 -2.157 0.165
Be -0.119 -0.199 -2.219
I -1.735 -2.889 -1.891
Ge 0.000 0.000 0.000
```

Calculated values
energy = -13.011 eV per atom
formation energy from raw total energies = 0.767 eV per atom

[3]
A crystal of Ti3NbFe2P6O24 relaxed with PBEsol, computed with meta-GGA SCAN.

```
36
Lattice="-4.532 -3.345 6.258 4.085 -4.567 5.774 0.902 3.319 7.685" Properties=species:S:1:pos:R:3 pbc="T T T"
O 1.301 -0.912 8.609
O 0.562 -3.405 8.045
O 1.434 -2.494 16.282
O -0.845 -2.724 5.859
O 1.660 1.561 8.783
Fe 0.001 -0.008 0.036
P 0.941 -4.814 7.520
Nb 0.062 -0.624 2.680
P -2.768 -1.110 8.469
O -1.182 -6.238 10.904
O -1.281 -1.547 8.521
Ti 0.164 -1.655 7.103
O 3.621 -3.866 9.853
O -2.122 0.243 12.435
O -3.594 -2.354 7.992
P -0.588 0.221 12.213
O 2.490 -4.811 7.279
O 1.225 -1.836 13.857
Ti 0.291 -2.931 12.584
O -0.807 -3.757 11.102
O -0.130 1.205 11.121
O 1.031 -4.587 13.220
O -0.190 -1.186 11.687
O 1.781 -1.609 6.058
Fe 0.228 -2.301 9.878
O 0.934 -5.242 15.653
O -1.316 -3.060 13.630
O 1.783 -2.980 11.223
O -1.257 -3.459 16.119
O -0.511 0.044 6.496
O -2.779 -4.519 9.849
P 3.278 -3.401 11.280
P -1.892 -4.868 11.058
O 4.114 -2.175 11.728
Ti 0.392 -3.955 16.978
P 2.396 0.184 8.651
```

Calculated values
energy = -11.711 eV per atom
formation energy from raw total energies = -2.561 eV per atom

[4]
A crystal of Pm2IrRu relaxed with PBEsol, computed with meta-GGA SCAN.

```
4
Lattice="-1.782 2.648 3.686 -4.815 0.619 0.453 -2.408 -2.187 3.632" Properties=species:S:1:pos:R:3 pbc="T T T"
Ru 0.000 0.000 0.000
Ir -4.502 0.540 3.886
Pm -2.251 0.270 1.943
Pm -6.754 0.810 5.829
```

Calculated values
DFT formation energy = -0.49 eV per atom
energy = -48.966 eV per atom

[5]
A crystal of MoPRu relaxed with PBEsol, computed with meta-GGA SCAN.

```
12
Lattice="3.847 0.000 0.000 0.000 5.967 0.000 0.000 0.000 6.910" Properties=species:S:1:pos:R:3 pbc="T T T"
Mo 2.885 2.831 2.277
Ru 2.885 5.126 3.924
P 2.885 4.446 6.103
Mo 0.962 0.153 5.732
P 2.885 1.462 4.262
Mo 2.885 5.815 1.178
Ru 2.885 2.143 6.440
Ru 0.962 0.841 2.985
P 0.962 4.505 2.648
Mo 0.962 3.136 4.632
P 0.962 1.521 0.807
Ru 0.962 3.825 0.469
```

Calculated values
DFT formation energy = -0.54 eV per atom
energy = -27.245 eV per atom

[6]
A crystal of AgSnH2 relaxed with PBEsol, computed with meta-GGA SCAN.

```
8
Lattice="4.974 0.000 0.000 -2.487 5.106 0.012 0.000 2.413 4.350" Properties=species:S:1:pos:R:3 pbc="T T T"
H 3.731 2.520 2.244
H 0.697 4.734 1.640
Ag 2.487 1.207 2.175
H -0.697 5.941 3.815
Sn 2.487 4.363 3.268
Ag 0.000 3.156 1.093
H 1.244 1.843 1.024
Sn 0.000 0.000 0.000
```

Calculated values
energy = -18.066 eV per atom

Which formula does entry 1 have?
LaGa3Cu

Which of these has the highest energy?
Ti3NbFe2P6O24